Computed, not measured: an optimized crystal structure of AlN2Cl at the GGA-PBE level of DFT.

* space-group type: Fm-3m, No. 225
* raw formation energy: 1.89 eV/atom
* magnetic moment: 0.87 μB/f.u.
* energy above the lowest structure with this stoichiometry: 1532 meV/atom

a = 3.950 Å, b = 3.950 Å, c = 3.950 Å
α = 60.00°, β = 60.00°, γ = 60.00°
Fractional positions:
Al 0.000 0.000 0.000
N 0.250 0.250 0.250
N 0.750 0.750 0.750
Cl 0.500 0.500 0.500


Computed, not measured: an optimized crystal structure of AlNCl2 at the GGA-PBE level of DFT.

* space-group type: R-3m, No. 166
* raw formation energy: 0.70 eV/atom
* magnetic moment: 2.12 μB/f.u.
* energy above the lowest structure with this stoichiometry: 976 meV/atom

a = 9.538 Å, b = 9.538 Å, c = 9.538 Å
α = 22.75°, β = 22.75°, γ = 22.75°
Fractional positions:
Al 0.000 0.000 0.000
N 0.500 0.500 0.500
Cl 0.383 0.383 0.383
Cl 0.617 0.617 0.617


Computed, not measured: an optimized crystal structure of AlNCl2O at the GGA-PBE level of DFT.

* space-group type: P4/mmm, No. 123
* raw formation energy: 0.66 eV/atom
* magnetic moment: 1.90 μB/f.u.

a = 4.962 Å, b = 4.962 Å, c = 3.506 Å
α = 90.00°, β = 90.00°, γ = 90.00°
Fractional positions:
Al 0.000 0.000 0.000
N 0.000 0.000 0.500
Cl 0.000 0.500 0.500
Cl 0.500 0.000 0.500
O 0.500 0.500 0.000


Computed, not measured: an optimized crystal structure of Pr20AlSi19N33Cl2O19 at the GGA-PBE level of DFT.

* space-group type: Pm, No. 6
* raw formation energy: -2.00 eV/atom
* magnetic moment: 0.00 μB/f.u.

a = 10.630 Å, b = 11.714 Å, c = 11.287 Å
α = 90.00°, β = 90.11°, γ = 90.00°
Fractional positions:
Pr 0.000 0.000 0.000
Pr 0.004 0.500 0.259
Pr 0.012 0.228 0.771
Pr 0.012 0.772 0.771
Pr 0.224 0.238 0.276
Pr 0.224 0.762 0.276
Pr 0.227 0.000 0.502
Pr 0.238 0.500 0.757
Pr 0.362 0.164 0.877
Pr 0.362 0.836 0.877
Pr 0.466 0.000 0.237
Pr 0.497 0.500 0.993
Pr 0.506 0.230 0.481
Pr 0.506 0.770 0.481
Pr 0.720 0.244 0.979
Pr 0.720 0.756 0.979
Pr 0.741 0.500 0.495
Pr 0.754 0.000 0.749
Pr 0.868 0.173 0.373
Pr 0.868 0.827 0.373
Al 0.585 0.000 0.984
Si 0.018 0.364 0.524
Si 0.018 0.636 0.524
Si 0.084 0.000 0.260
Si 0.150 0.000 0.769
Si 0.213 0.365 0.021
Si 0.213 0.635 0.021
Si 0.252 0.242 0.615
Si 0.252 0.758 0.615
Si 0.481 0.249 0.133
Si 0.481 0.751 0.133
Si 0.515 0.364 0.730
Si 0.515 0.636 0.730
Si 0.661 0.000 0.485
Si 0.715 0.367 0.232
Si 0.715 0.633 0.232
Si 0.750 0.247 0.633
Si 0.750 0.753 0.633
Si 0.979 0.246 0.119
Si 0.979 0.754 0.119
N 0.029 0.123 0.194
N 0.029 0.877 0.194
N 0.091 0.351 0.121
N 0.091 0.649 0.121
N 0.137 0.349 0.626
N 0.137 0.651 0.626
N 0.197 0.123 0.694
N 0.197 0.877 0.694
N 0.212 0.000 0.911
N 0.244 0.000 0.277
N 0.263 0.500 0.986
N 0.285 0.197 0.475
N 0.285 0.803 0.475
N 0.340 0.286 0.071
N 0.340 0.714 0.071
N 0.391 0.282 0.683
N 0.391 0.718 0.683
N 0.465 0.500 0.757
N 0.536 0.129 0.062
N 0.536 0.871 0.062
N 0.593 0.356 0.131
N 0.593 0.644 0.131
N 0.636 0.350 0.627
N 0.636 0.650 0.627
N 0.700 0.122 0.560
N 0.700 0.878 0.560
N 0.768 0.500 0.267
N 0.838 0.283 0.181
N 0.838 0.717 0.181
N 0.891 0.284 0.571
N 0.891 0.716 0.571
N 0.967 0.500 0.495
N 0.984 0.000 0.778
Cl 0.286 0.500 0.327
Cl 0.790 0.500 0.926
O 0.018 0.000 0.399
O 0.043 0.313 0.386
O 0.043 0.687 0.386
O 0.180 0.313 0.885
O 0.180 0.687 0.885
O 0.451 0.206 0.272
O 0.451 0.794 0.272
O 0.506 0.000 0.455
O 0.517 0.000 0.839
O 0.548 0.315 0.867
O 0.548 0.685 0.867
O 0.684 0.313 0.368
O 0.684 0.687 0.368
O 0.730 0.000 0.353
O 0.752 0.000 0.960
O 0.781 0.205 0.772
O 0.781 0.795 0.772
O 0.946 0.203 0.980
O 0.946 0.797 0.980


Computed, not measured: an optimized crystal structure of AlOs2NCl at the GGA-PBE level of DFT.

* space-group type: P4/mmm, No. 123
* raw formation energy: 0.85 eV/atom
* magnetic moment: 0.00 μB/f.u.

a = 3.844 Å, b = 3.844 Å, c = 6.682 Å
α = 90.00°, β = 90.00°, γ = 90.00°
Fractional positions:
Al 0.000 0.000 0.000
Os 0.000 0.500 0.500
Os 0.500 0.000 0.500
N 0.000 0.000 0.500
Cl 0.500 0.500 0.000


Computed, not measured: an optimized crystal structure of AlPNCl2 at the GGA-PBE level of DFT.

* space-group type: P4/mmm, No. 123
* raw formation energy: 0.59 eV/atom
* magnetic moment: 0.63 μB/f.u.
* energy above the lowest structure with this stoichiometry: 0 meV/atom

a = 6.132 Å, b = 6.132 Å, c = 3.195 Å
α = 90.00°, β = 90.00°, γ = 90.00°
Fractional positions:
Al 0.000 0.000 0.000
P 0.500 0.500 0.000
N 0.500 0.500 0.500
Cl 0.000 0.500 0.500
Cl 0.500 0.000 0.500


Computed, not measured: an optimized crystal structure of AlP2NCl at the GGA-PBE level of DFT.

* space-group type: P4/mmm, No. 123
* raw formation energy: 0.92 eV/atom
* magnetic moment: 0.00 μB/f.u.
* energy above the lowest structure with this stoichiometry: 0 meV/atom

a = 4.061 Å, b = 4.061 Å, c = 4.451 Å
α = 90.00°, β = 90.00°, γ = 90.00°
Fractional positions:
Al 0.000 0.000 0.000
P 0.000 0.500 0.500
P 0.500 0.000 0.500
N 0.500 0.500 0.500
Cl 0.500 0.500 0.000


Computed, not measured: an optimized crystal structure of AlP3N3Cl9 at the GGA-PBE level of DFT.

* space-group type: Pmn2_1, No. 31
* raw formation energy: -0.81 eV/atom
* magnetic moment: 0.10 μB/f.u.

a = 12.918 Å, b = 12.592 Å, c = 11.431 Å
α = 90.00°, β = 90.00°, γ = 90.00°
Fractional positions:
Al 0.000 0.088 0.000
Al 0.000 0.347 0.521
Al 0.500 0.653 0.021
Al 0.500 0.912 0.500
P 0.000 0.533 0.934
P 0.000 0.852 0.378
P 0.110 0.470 0.735
P 0.110 0.984 0.225
P 0.390 0.016 0.725
P 0.390 0.530 0.235
P 0.500 0.148 0.878
P 0.500 0.467 0.434
P 0.610 0.016 0.725
P 0.610 0.530 0.235
P 0.890 0.470 0.735
P 0.890 0.984 0.225
N 0.000 0.015 0.158
N 0.000 0.435 0.670
N 0.104 0.503 0.867
N 0.104 0.896 0.323
N 0.396 0.104 0.823
N 0.396 0.497 0.367
N 0.500 0.565 0.170
N 0.500 0.985 0.658
N 0.604 0.104 0.823
N 0.604 0.497 0.367
N 0.896 0.503 0.867
N 0.896 0.896 0.323
Cl 0.000 0.186 0.578
Cl 0.000 0.466 0.091
Cl 0.000 0.689 0.970
Cl 0.000 0.693 0.365
Cl 0.000 0.875 0.551
Cl 0.000 0.961 0.876
Cl 0.134 0.390 0.424
Cl 0.135 0.185 0.992
Cl 0.172 0.117 0.290
Cl 0.175 0.588 0.641
Cl 0.208 0.350 0.719
Cl 0.210 0.936 0.104
Cl 0.290 0.064 0.604
Cl 0.292 0.650 0.219
Cl 0.325 0.412 0.141
Cl 0.328 0.883 0.790
Cl 0.365 0.815 0.492
Cl 0.366 0.610 0.924
Cl 0.500 0.039 0.376
Cl 0.500 0.125 0.051
Cl 0.500 0.307 0.865
Cl 0.500 0.311 0.470
Cl 0.500 0.534 0.591
Cl 0.500 0.814 0.078
Cl 0.634 0.610 0.924
Cl 0.635 0.815 0.492
Cl 0.672 0.883 0.790
Cl 0.675 0.412 0.141
Cl 0.708 0.650 0.219
Cl 0.710 0.064 0.604
Cl 0.790 0.936 0.104
Cl 0.792 0.350 0.719
Cl 0.825 0.588 0.641
Cl 0.828 0.117 0.290
Cl 0.865 0.185 0.992
Cl 0.866 0.390 0.424